Entry 1:
A geometry-optimized LiH5Pd4 structure. Source: Alexandria, functional GGA-PBE.

## Properties
For the distance to the lowest polymorph of the same formula, the calculation gives 121 meV per atom. The total energy is -4.021 eV/atom.

Structure (CIF):
```
data_LiH5Pd4
_chemical_formula_sum 'Li2 H10 Pd8'
_cell_length_a 5.4524
_cell_length_b 7.8301
_cell_length_c 4.6083
_cell_angle_alpha 90.00
_cell_angle_beta 90.00
_cell_angle_gamma 90.00
_space_group_name_H-M_alt 'P m m n'
_space_group_IT_number 59
loop_
_space_group_symop_operation_xyz
'x,y,z'
'-x,-y,-z'
'-x+1/2,-y+1/2,z'
'x+1/2,y+1/2,-z'
'x+1/2,-y,-z'
'-x+1/2,y,z'
'-x,y+1/2,-z'
'x,-y+1/2,z'
loop_
_atom_site_label
_atom_site_type_symbol
_atom_site_fract_x
_atom_site_fract_y
_atom_site_fract_z
Li1 Li 0.2500 0.2500 0.1078
H1 H 0.0136 0.5574 0.2121
H2 H 0.2500 0.7500 0.6642
Pd1 Pd 0.0024 0.2500 0.5933
Pd2 Pd 0.2500 0.5598 0.9116
```

Entry 2:
A geometry-optimized Li2HPd structure. Source: Alexandria, functional GGA-PBE.

## Properties
For the distance to the lowest polymorph of the same formula, the calculation gives 529 meV per atom. The total energy is -2.978 eV/atom.

Structure (CIF):
```
data_Li2HPd
_chemical_formula_sum 'Li8 H4 Pd4'
_cell_length_a 5.8119
_cell_length_b 5.8119
_cell_length_c 5.8119
_cell_angle_alpha 90.00
_cell_angle_beta 90.00
_cell_angle_gamma 90.00
_space_group_name_H-M_alt 'F m -3 m'
_space_group_IT_number 225
_space_group_name_Hall '-F 4 2 3'
loop_
_atom_site_label
_atom_site_type_symbol
_atom_site_fract_x
_atom_site_fract_y
_atom_site_fract_z
Li1 Li 0.2500 0.2500 0.2500
H1 H 0.0000 0.0000 0.0000
Pd1 Pd 0.0000 0.0000 0.5000
```

Entry 3:
A geometry-optimized LiH2Pd4 structure. Source: Alexandria, functional GGA-PBE.

## Properties
For the distance to the lowest polymorph of the same formula, the calculation gives 20 meV per atom. The total energy is -4.350 eV/atom.

Structure (CIF):
```
data_LiH2Pd4
_chemical_formula_sum 'Li2 H4 Pd8'
_cell_length_a 5.2246
_cell_length_b 5.2254
_cell_length_c 6.9766
_cell_angle_alpha 103.82
_cell_angle_beta 108.10
_cell_angle_gamma 105.14
_space_group_name_H-M_alt 'P 1'
_space_group_IT_number 1
_space_group_name_Hall 'P 1'
loop_
_atom_site_label
_atom_site_type_symbol
_atom_site_fract_x
_atom_site_fract_y
_atom_site_fract_z
Li1 Li 0.0000 0.0000 0.0000
Li2 Li 0.3451 0.8442 0.4997
H1 H 0.1920 0.0443 0.7403
H2 H 0.3049 0.4523 0.2596
H3 H 0.4936 0.9001 0.1398
H4 H 0.7605 0.3573 0.8605
Pd1 Pd 0.0158 0.3178 0.3375
Pd2 Pd 0.1480 0.5891 0.0535
Pd3 Pd 0.4862 0.5048 0.7557
Pd4 Pd 0.4903 0.2205 0.3388
Pd5 Pd 0.5347 0.0947 0.9458
Pd6 Pd 0.7481 0.7307 0.2433
Pd7 Pd 0.8808 0.1519 0.6614
Pd8 Pd 0.9788 0.6785 0.6612
```

Entry 4:
A geometry-optimized LiHPd3 structure. Source: Alexandria, functional GGA-PBE.

## Properties
For the distance to the lowest polymorph of the same formula, the calculation gives 164 meV per atom. The total energy is -4.295 eV/atom.

Structure (CIF):
```
data_LiHPd3
_chemical_formula_sum 'Li2 H2 Pd6'
_cell_length_a 2.9155
_cell_length_b 2.9155
_cell_length_c 17.6693
_cell_angle_alpha 90.00
_cell_angle_beta 90.00
_cell_angle_gamma 120.00
_space_group_name_H-M_alt 'P 63/m m c'
_space_group_IT_number 194
_space_group_name_Hall '-P 6c 2c'
loop_
_atom_site_label
_atom_site_type_symbol
_atom_site_fract_x
_atom_site_fract_y
_atom_site_fract_z
Li1 Li 0.0000 0.0000 0.0000
H1 H 0.3333 0.6667 0.2500
Pd1 Pd 0.0000 0.0000 0.2500
Pd2 Pd 0.3333 0.6667 0.1158
```

Entry 5:
A geometry-optimized LiH3Pd3 structure. Source: Alexandria, functional GGA-PBE.

## Properties
For the distance to the lowest polymorph of the same formula, the calculation gives 55 meV per atom. The total energy is -4.115 eV/atom.

Structure (CIF):
```
data_LiH3Pd3
_chemical_formula_sum 'Li6 H18 Pd18'
_cell_length_a 7.6518
_cell_length_b 7.6518
_cell_length_c 8.5971
_cell_angle_alpha 90.00
_cell_angle_beta 90.00
_cell_angle_gamma 120.00
_space_group_name_H-M_alt 'R -3'
_space_group_IT_number 148
_space_group_name_Hall '-R 3'
loop_
_atom_site_label
_atom_site_type_symbol
_atom_site_fract_x
_atom_site_fract_y
_atom_site_fract_z
Li1 Li 0.0000 0.0000 0.1889
H1 H 0.0103 0.8046 0.5959
Pd1 Pd 0.0179 0.3711 0.2605
```

Entry 6:
A geometry-optimized Li3H7Pd2 structure. Source: Alexandria, functional GGA-PBE.

## Properties
The total energy is -3.566 eV/atom.

Structure (CIF):
```
data_Li3H7Pd2
_chemical_formula_sum 'Li6 H14 Pd4'
_cell_length_a 3.5652
_cell_length_b 16.9292
_cell_length_c 3.5057
_cell_angle_alpha 90.00
_cell_angle_beta 90.00
_cell_angle_gamma 90.00
_space_group_name_H-M_alt 'C m m m'
_space_group_IT_number 65
_space_group_name_Hall '-C 2 2'
loop_
_atom_site_label
_atom_site_type_symbol
_atom_site_fract_x
_atom_site_fract_y
_atom_site_fract_z
Li1 Li 0.0000 0.0000 0.0000
Li2 Li 0.0000 0.1750 0.0000
H1 H 0.0000 0.1024 0.5000
H2 H 0.0000 0.2964 0.5000
H3 H 0.0000 0.3978 0.0000
H4 H 0.0000 0.5000 0.5000
Pd1 Pd 0.0000 0.3966 0.5000
```

Entry 7:
A geometry-optimized LiH3Pd3 structure. Source: Alexandria, functional GGA-PBE.

## Properties
For the distance to the lowest polymorph of the same formula, the calculation gives 38 meV per atom. The total energy is -4.131 eV/atom.

Structure (CIF):
```
data_LiH3Pd3
_chemical_formula_sum 'Li2 H6 Pd6'
_cell_length_a 5.2798
_cell_length_b 5.2798
_cell_length_c 5.2798
_cell_angle_alpha 90.00
_cell_angle_beta 90.00
_cell_angle_gamma 90.00
_space_group_name_H-M_alt 'P m -3 n'
_space_group_IT_number 223
_space_group_name_Hall '-P 4n 2 3'
loop_
_atom_site_label
_atom_site_type_symbol
_atom_site_fract_x
_atom_site_fract_y
_atom_site_fract_z
Li1 Li 0.0000 0.0000 0.0000
H1 H 0.0000 0.2500 0.5000
Pd1 Pd 0.0000 0.5000 0.2500
```

Entry 8:
A geometry-optimized Li4H5Pd structure. Source: Alexandria, functional GGA-PBE.

## Properties
The total energy is -3.309 eV/atom.

Structure (CIF):
```
data_Li4H5Pd
_chemical_formula_sum 'Li12 H15 Pd3'
_cell_length_a 2.9031
_cell_length_b 2.9031
_cell_length_c 34.4784
_cell_angle_alpha 90.00
_cell_angle_beta 90.00
_cell_angle_gamma 120.00
_space_group_name_H-M_alt 'R -3 m'
_space_group_IT_number 166
_space_group_name_Hall '-R 3 2"'
loop_
_atom_site_label
_atom_site_type_symbol
_atom_site_fract_x
_atom_site_fract_y
_atom_site_fract_z
Li1 Li 0.0000 0.0000 0.1004
Li2 Li 0.0000 0.0000 0.3001
H1 H 0.0000 0.0000 0.0000
H2 H 0.0000 0.0000 0.1945
H3 H 0.0000 0.0000 0.4000
Pd1 Pd 0.0000 0.0000 0.5000
```

Entry 9:
A geometry-optimized Li2H2Pd3 structure. Source: Alexandria, functional GGA-PBE.

## Properties
For the distance to the lowest polymorph of the same formula, the calculation gives 0 meV per atom. The total energy is -4.035 eV/atom.

Structure (CIF):
```
data_Li2H2Pd3
_chemical_formula_sum 'Li4 H4 Pd6'
_cell_length_a 8.5054
_cell_length_b 2.7761
_cell_length_c 7.2662
_cell_angle_alpha 90.00
_cell_angle_beta 107.92
_cell_angle_gamma 90.00
_space_group_name_H-M_alt 'C 1 2/m 1'
_space_group_IT_number 12
_space_group_name_Hall '-C 2y'
loop_
_atom_site_label
_atom_site_type_symbol
_atom_site_fract_x
_atom_site_fract_y
_atom_site_fract_z
Li1 Li 0.1683 0.0000 0.2749
H1 H 0.0670 0.0000 0.6979
Pd1 Pd 0.0000 0.5000 0.5000
Pd2 Pd 0.1096 0.5000 0.8951
```

Entry 10:
A geometry-optimized LiHPd4 structure. Source: Alexandria, functional GGA-PBE.

## Properties
For the distance to the lowest polymorph of the same formula, the calculation gives 0 meV per atom. The total energy is -4.520 eV/atom.

Structure (CIF):
```
data_LiHPd4
_chemical_formula_sum 'Li4 H4 Pd16'
_cell_length_a 4.8633
_cell_length_b 9.4199
_cell_length_c 7.1430
_cell_angle_alpha 90.00
_cell_angle_beta 107.14
_cell_angle_gamma 90.00
_space_group_name_H-M_alt 'C 1 2/c 1'
_space_group_IT_number 15
_space_group_name_Hall '-C 2yc'
loop_
_atom_site_label
_atom_site_type_symbol
_atom_site_fract_x
_atom_site_fract_y
_atom_site_fract_z
Li1 Li 0.0000 0.0895 0.2500
H1 H 0.0000 0.4841 0.2500
Pd1 Pd 0.1341 0.3835 0.9490
Pd2 Pd 0.2124 0.1562 0.6514
```

Entry 11:
A geometry-optimized Li2H2Pd3 structure. Source: Alexandria, functional GGA-PBE.

## Properties
For the distance to the lowest polymorph of the same formula, the calculation gives 7 meV per atom. The total energy is -4.027 eV/atom.

Structure (CIF):
```
data_Li2H2Pd3
_chemical_formula_sum 'Li2 H2 Pd3'
_cell_length_a 2.8473
_cell_length_b 2.8412
_cell_length_c 9.5626
_cell_angle_alpha 90.00
_cell_angle_beta 98.49
_cell_angle_gamma 90.00
_space_group_name_H-M_alt 'P 1 2/m 1'
_space_group_IT_number 10
_space_group_name_Hall '-P 2y'
loop_
_atom_site_label
_atom_site_type_symbol
_atom_site_fract_x
_atom_site_fract_y
_atom_site_fract_z
Li1 Li 0.0967 0.0000 0.1918
H1 H 0.4049 0.5000 0.8096
Pd1 Pd 0.3126 0.5000 0.6229
Pd2 Pd 0.5000 0.5000 0.0000
```

Entry 12:
A geometry-optimized LiHPd3 structure. Source: Alexandria, functional GGA-PBE.

## Properties
For the distance to the lowest polymorph of the same formula, the calculation gives 6 meV per atom. The total energy is -4.453 eV/atom.

Structure (CIF):
```
data_LiHPd3
_chemical_formula_sum 'Li4 H4 Pd12'
_cell_length_a 5.5591
_cell_length_b 5.6169
_cell_length_c 7.9469
_cell_angle_alpha 90.00
_cell_angle_beta 90.00
_cell_angle_gamma 90.00
_space_group_name_H-M_alt 'I m m a'
_space_group_IT_number 74
_space_group_name_Hall '-I 2b 2'
loop_
_atom_site_label
_atom_site_type_symbol
_atom_site_fract_x
_atom_site_fract_y
_atom_site_fract_z
Li1 Li 0.0000 0.2500 0.0049
H1 H 0.0000 0.2500 0.7285
Pd1 Pd 0.0000 0.2500 0.4941
Pd2 Pd 0.2500 0.0015 0.2500
```

> What is the formula in the twelfth record?

LiHPd3